First-principles (PBE-GGA) data for a geometry-optimized CoCuGe structure, as listed in Alexandria via LeMat-Bulk.

Summary:
Space-group type ... No. 107
Formation energy from the elements ... 0.064 eV per atom
Fermi-level density of states ... 1.9 states/eV/f.u.

Cell lengths 4.618, 4.618, 4.618 Å; angles 141.74, 141.74, 55.23 degrees
Fractional positions:
Co 0.000 0.000 0.000
Cu 0.677 0.677 0.000
Ge 0.351 0.351 0.000

=====

First-principles (PBE-GGA) data for a geometry-optimized SbW3Br structure, as listed in Alexandria via LeMat-Bulk.

Summary:
Uncorrected formation energy ... 211.51 kJ/mol of atoms
Space-group type ... No. 221
Fermi-level density of states ... 5.7 states/eV/f.u.

Cell lengths 4.674, 4.674, 4.674 Å; angles 90.00, 90.00, 90.00 degrees
Fractional positions:
Sb 0.000 0.000 0.000
W 0.000 0.500 0.500
W 0.500 0.000 0.500
W 0.500 0.500 0.000
Br 0.500 0.500 0.500